# 1
DFT (PBE) results for crystalline Pr4PRhS2 at its relaxed geometry.

```
data_Pr4PRhS2
_symmetry_space_group_name_H-M 'P 1'
_symmetry_Int_Tables_number 1
_symmetry_space_group_name_Hall 'P 1'
_cell_length_a 7.2602
_cell_length_b 4.1201
_cell_length_c 7.2618
_cell_angle_alpha 90.00
_cell_angle_beta 108.68
_cell_angle_gamma 90.00
loop_
_atom_site_label
_atom_site_type_symbol
_atom_site_fract_x
_atom_site_fract_y
_atom_site_fract_z
Pr1 Pr 0.2471 0.0000 0.2428
Pr2 Pr 0.2502 0.5000 0.7587
Pr3 Pr 0.7498 0.5000 0.2413
Pr4 Pr 0.7529 0.0000 0.7572
P1 P 0.5000 0.0000 0.0000
Rh1 Rh 0.0000 0.5000 0.0000
S1 S 0.0000 0.0000 0.5000
S2 S 0.5000 0.5000 0.5000
```

Crystal system: monoclinic
N(E_F), states/eV per atom: 0.81
ΔE_f (raw), eV per formula unit: -11.944

# 2
DFT (PBE) results for crystalline Cs2Np3ScO12 at its relaxed geometry.

```
data_Cs2Np3ScO12
_symmetry_space_group_name_H-M 'P 1'
_symmetry_Int_Tables_number 1
_symmetry_space_group_name_Hall 'P 1'
_cell_length_a 7.6336
_cell_length_b 7.6336
_cell_length_c 7.6336
_cell_angle_alpha 62.56
_cell_angle_beta 62.56
_cell_angle_gamma 62.56
loop_
_atom_site_label
_atom_site_type_symbol
_atom_site_fract_x
_atom_site_fract_y
_atom_site_fract_z
Cs1 Cs 0.1251 0.1251 0.1251
Cs2 Cs 0.8749 0.8749 0.8749
Np1 Np 0.0000 0.5000 0.5000
Np2 Np 0.5000 0.0000 0.5000
Np3 Np 0.5000 0.5000 0.0000
Sc1 Sc 0.5000 0.5000 0.5000
O1 O 0.1801 0.5626 0.5626
O2 O 0.1824 0.1824 0.5656
O3 O 0.1824 0.5656 0.1824
O4 O 0.4344 0.8176 0.8176
O5 O 0.4374 0.4374 0.8199
O6 O 0.4374 0.8199 0.4374
O7 O 0.5626 0.1801 0.5626
O8 O 0.5626 0.5626 0.1801
O9 O 0.5656 0.1824 0.1824
O10 O 0.8176 0.4344 0.8176
O11 O 0.8176 0.8176 0.4344
O12 O 0.8199 0.4374 0.4374
```

Crystal system: trigonal
N(E_F), states/eV per atom: 0.60
ΔE_f (raw), eV per formula unit: -49.566

# 3
DFT (PBE) results for crystalline Sm3Al4Pd2 at its relaxed geometry.

```
data_Sm3Al4Pd2
_symmetry_space_group_name_H-M 'P 1'
_symmetry_Int_Tables_number 1
_symmetry_space_group_name_Hall 'P 1'
_cell_length_a 5.9412
_cell_length_b 5.9412
_cell_length_c 8.5917
_cell_angle_alpha 104.98
_cell_angle_beta 104.98
_cell_angle_gamma 43.01
loop_
_atom_site_label
_atom_site_type_symbol
_atom_site_fract_x
_atom_site_fract_y
_atom_site_fract_z
Sm1 Sm 0.0000 0.0000 0.0000
Sm2 Sm 0.3765 0.3765 0.6244
Sm3 Sm 0.6235 0.6235 0.3756
Al1 Al 0.0867 0.0867 0.6497
Al2 Al 0.2869 0.2869 0.9303
Al3 Al 0.7131 0.7131 0.0697
Al4 Al 0.9133 0.9133 0.3503
Pd1 Pd 0.3100 0.3100 0.2344
Pd2 Pd 0.6900 0.6900 0.7656
```

Crystal system: monoclinic
Formation enthalpy at 0 K, eV per atom: -0.6437
N(E_F), states/eV per atom: 0.65

# 4
DFT (PBE) results for crystalline GeBiS at its relaxed geometry.

```
data_GeBiS
_symmetry_space_group_name_H-M 'P 1'
_symmetry_Int_Tables_number 1
_symmetry_space_group_name_Hall 'P 1'
_cell_length_a 9.4956
_cell_length_b 9.4956
_cell_length_c 5.3388
_cell_angle_alpha 103.29
_cell_angle_beta 103.29
_cell_angle_gamma 20.87
loop_
_atom_site_label
_atom_site_type_symbol
_atom_site_fract_x
_atom_site_fract_y
_atom_site_fract_z
Ge1 Ge 0.1978 0.1978 0.2245
Ge2 Ge 0.8022 0.8022 0.7755
Bi1 Bi 0.4509 0.4509 0.7166
Bi2 Bi 0.5491 0.5491 0.2834
S1 S 0.2075 0.2075 0.7098
S2 S 0.7925 0.7925 0.2902
```

Crystal system: monoclinic
N(E_F), states/eV per atom: 0.30
ΔE_f (raw), eV per formula unit: -0.172

# 5
DFT (PBE) results for crystalline Sm3Si3Ni at its relaxed geometry.

```
data_Sm3Si3Ni
_symmetry_space_group_name_H-M 'P 1'
_symmetry_Int_Tables_number 1
_symmetry_space_group_name_Hall 'P 1'
_cell_length_a 5.7586
_cell_length_b 5.7586
_cell_length_c 13.8391
_cell_angle_alpha 109.15
_cell_angle_beta 109.15
_cell_angle_gamma 43.42
loop_
_atom_site_label
_atom_site_type_symbol
_atom_site_fract_x
_atom_site_fract_y
_atom_site_fract_z
Sm1 Sm 0.0280 0.0280 0.3822
Sm2 Sm 0.1033 0.1033 0.9218
Sm3 Sm 0.2490 0.2490 0.2288
Sm4 Sm 0.7510 0.7510 0.7712
Sm5 Sm 0.8967 0.8967 0.0782
Sm6 Sm 0.9720 0.9720 0.6178
Si1 Si 0.3422 0.3422 0.4590
Si2 Si 0.3919 0.3919 0.9239
Si3 Si 0.4498 0.4498 0.7640
Si4 Si 0.5502 0.5502 0.2360
Si5 Si 0.6081 0.6081 0.0761
Si6 Si 0.6578 0.6578 0.5410
Ni1 Ni 0.2558 0.2558 0.6040
Ni2 Ni 0.7442 0.7442 0.3960
```

Crystal system: monoclinic
N(E_F), states/eV per atom: 0.93
ΔE_f (raw), eV per formula unit: -5.326

# 6
DFT (PBE) results for crystalline Ho2Nb2N3 at its relaxed geometry.

```
data_Ho2Nb2N3
_symmetry_space_group_name_H-M 'P 1'
_symmetry_Int_Tables_number 1
_symmetry_space_group_name_Hall 'P 1'
_cell_length_a 5.8804
_cell_length_b 5.8804
_cell_length_c 5.6451
_cell_angle_alpha 107.12
_cell_angle_beta 107.12
_cell_angle_gamma 32.95
loop_
_atom_site_label
_atom_site_type_symbol
_atom_site_fract_x
_atom_site_fract_y
_atom_site_fract_z
Ho1 Ho 0.1151 0.1151 0.3444
Ho2 Ho 0.8849 0.8849 0.6556
Nb1 Nb 0.3511 0.3511 0.1507
Nb2 Nb 0.6489 0.6489 0.8493
N1 N 0.2504 0.2504 0.7498
N2 N 0.5000 0.5000 0.5000
N3 N 0.7496 0.7496 0.2502
```

Crystal system: monoclinic
N(E_F), states/eV per atom: 0.49
ΔE_f (raw), eV per formula unit: -8.902

# 7
DFT (PBE) results for crystalline MgFeOs at its relaxed geometry.

```
data_MgFeOs
_symmetry_space_group_name_H-M 'P 1'
_symmetry_Int_Tables_number 1
_symmetry_space_group_name_Hall 'P 1'
_cell_length_a 6.0092
_cell_length_b 6.0092
_cell_length_c 3.9366
_cell_angle_alpha 90.00
_cell_angle_beta 90.00
_cell_angle_gamma 142.25
loop_
_atom_site_label
_atom_site_type_symbol
_atom_site_fract_x
_atom_site_fract_y
_atom_site_fract_z
Mg1 Mg 0.2482 0.7518 0.7500
Mg2 Mg 0.7518 0.2482 0.2500
Fe1 Fe 0.0655 0.9345 0.2500
Fe2 Fe 0.9345 0.0655 0.7500
Os1 Os 0.4328 0.5672 0.2500
Os2 Os 0.5672 0.4328 0.7500
```

Crystal system: orthorhombic
Formation enthalpy at 0 K, eV per atom: 0.2241
N(E_F), states/eV per atom: 1.19

# 8
DFT (PBE) results for crystalline Pr2SmIn4 at its relaxed geometry.

```
data_Pr2SmIn4
_symmetry_space_group_name_H-M 'P 1'
_symmetry_Int_Tables_number 1
_symmetry_space_group_name_Hall 'P 1'
_cell_length_a 6.3592
_cell_length_b 8.6145
_cell_length_c 8.9857
_cell_angle_alpha 115.34
_cell_angle_beta 108.81
_cell_angle_gamma 93.86
loop_
_atom_site_label
_atom_site_type_symbol
_atom_site_fract_x
_atom_site_fract_y
_atom_site_fract_z
Pr1 Pr 0.0000 0.0000 0.0000
Pr2 Pr 0.0492 0.0230 0.5368
Pr3 Pr 0.2208 0.4812 0.3668
Pr4 Pr 0.9008 0.5604 0.7050
Sm1 Sm 0.4598 0.8043 0.1501
Sm2 Sm 0.6522 0.2515 0.9223
In1 In 0.1820 0.3660 0.9611
In2 In 0.3501 0.8501 0.7890
In3 In 0.4189 0.4903 0.7633
In4 In 0.4708 0.1736 0.4686
In5 In 0.5990 0.8823 0.5781
In6 In 0.6986 0.5645 0.3126
In7 In 0.7751 0.2070 0.2938
In8 In 0.9371 0.6823 0.1163
```

Crystal system: triclinic
Formation enthalpy at 0 K, eV per atom: -0.4334
N(E_F), states/eV per atom: 0.78

# 9
DFT (PBE) results for crystalline Na3CaFe at its relaxed geometry.

```
data_Na3CaFe
_symmetry_space_group_name_H-M 'P 1'
_symmetry_Int_Tables_number 1
_symmetry_space_group_name_Hall 'P 1'
_cell_length_a 5.5332
_cell_length_b 5.5332
_cell_length_c 5.5332
_cell_angle_alpha 90.00
_cell_angle_beta 90.00
_cell_angle_gamma 90.00
loop_
_atom_site_label
_atom_site_type_symbol
_atom_site_fract_x
_atom_site_fract_y
_atom_site_fract_z
Na1 Na 0.0000 0.0000 0.5000
Na2 Na 0.0000 0.5000 0.0000
Na3 Na 0.5000 0.0000 0.0000
Ca1 Ca 0.5000 0.5000 0.5000
Fe1 Fe 0.0000 0.0000 0.0000
```

Crystal system: cubic
Formation enthalpy at 0 K, eV per atom: 0.7359
N(E_F), states/eV per atom: 1.88

# 10
DFT (PBE) results for crystalline RbTcAg3 at its relaxed geometry.

```
data_RbTcAg3
_symmetry_space_group_name_H-M 'P 1'
_symmetry_Int_Tables_number 1
_symmetry_space_group_name_Hall 'P 1'
_cell_length_a 5.6083
_cell_length_b 5.6083
_cell_length_c 5.6083
_cell_angle_alpha 90.00
_cell_angle_beta 90.00
_cell_angle_gamma 90.00
loop_
_atom_site_label
_atom_site_type_symbol
_atom_site_fract_x
_atom_site_fract_y
_atom_site_fract_z
Rb1 Rb 0.0000 0.0000 0.0000
Tc1 Tc 0.5000 0.5000 0.5000
Ag1 Ag 0.0000 0.0000 0.5000
Ag2 Ag 0.0000 0.5000 0.0000
Ag3 Ag 0.5000 0.0000 0.0000
```

Crystal system: cubic
Formation enthalpy at 0 K, eV per atom: 2.0455
N(E_F), states/eV per atom: 0.78

# 11
DFT (PBE) results for crystalline ZrTa3Co at its relaxed geometry.

```
data_ZrTa3Co
_symmetry_space_group_name_H-M 'P 1'
_symmetry_Int_Tables_number 1
_symmetry_space_group_name_Hall 'P 1'
_cell_length_a 4.8326
_cell_length_b 4.8326
_cell_length_c 4.8326
_cell_angle_alpha 90.00
_cell_angle_beta 90.00
_cell_angle_gamma 90.00
loop_
_atom_site_label
_atom_site_type_symbol
_atom_site_fract_x
_atom_site_fract_y
_atom_site_fract_z
Zr1 Zr 0.0000 0.0000 0.0000
Ta1 Ta 0.0000 0.0000 0.5000
Ta2 Ta 0.0000 0.5000 0.0000
Ta3 Ta 0.5000 0.0000 0.0000
Co1 Co 0.5000 0.5000 0.5000
```

Crystal system: cubic
Formation enthalpy at 0 K, eV per atom: 2.3505
N(E_F), states/eV per atom: 2.24

# 12
DFT (PBE) results for crystalline TaRe2Hg at its relaxed geometry.

```
data_TaRe2Hg
_symmetry_space_group_name_H-M 'P 1'
_symmetry_Int_Tables_number 1
_symmetry_space_group_name_Hall 'P 1'
_cell_length_a 5.0484
_cell_length_b 5.0484
_cell_length_c 4.8135
_cell_angle_alpha 102.00
_cell_angle_beta 102.00
_cell_angle_gamma 34.50
loop_
_atom_site_label
_atom_site_type_symbol
_atom_site_fract_x
_atom_site_fract_y
_atom_site_fract_z
Ta1 Ta 0.0000 0.0000 0.0000
Re1 Re 0.4824 0.4824 0.4562
Re2 Re 0.7522 0.7522 0.2470
Hg1 Hg 0.2392 0.2392 0.7348
```

Crystal system: monoclinic
Formation enthalpy at 0 K, eV per atom: 0.4364
N(E_F), states/eV per atom: 0.83